Material: MgWNF2
Method: DFT, PBE+U
State: optimized geometry

## Properties
The value obtained for the total magnetic moment is 2.34 Bohr magnetons per cell. For the energy relative to the lowest polymorph listed for this composition, the calculation gives 0.116 eV per atom. Its raw total energy is -5.20 eV/atom. The mass density is 5780 kg/m3.

a = 4.2861 Å, b = 4.2861 Å, c = 4.0682 Å
α = 90.00°, β = 90.00°, γ = 90.00°
Last column: nearest neighbours and their distance in Å.
Fractional coordinates of all 5 atoms:
Mg1 0.5000 0.5000 0.5000  8 F 2.95, 4 N 3.03
N1 0.0000 0.0000 0.5000  2 W 2.03
W1 0.0000 0.0000 0.0000  2 N 2.03, 4 F 2.14
F1 0.0000 0.5000 0.0000  2 W 2.14
F2 0.5000 0.0000 0.0000  2 W 2.14